# 1
{
  "formula": "BePt2Br",
  "functional": "PBE",
  "state": "relaxed",
  "magmom_total_mub_per_cell": 0.00,
  "space_group": "I-42d, No. 122",
  "rho_g_cm3": 10.3,
  "final_energy_ev_per_cell": -32.6,
  "raw_formation_energy_ev_per_atom": 0.2904,
  "e_above_lowest_polymorph_mev_per_atom": 424,
  "dos_at_fermi_per_ev_cell": 9.06,
  "lattice_angstrom": [[4.773, 0.000, 0.000], [0.000, 4.773, 0.000], [2.386, 2.386, 6.765]],
  "species": ["Be", "Be", "Pt", "Pt", "Pt", "Pt", "Br", "Br"],
  "frac_coords": [[0.500, 0.500, 0.000], [0.250, 0.750, 0.500], [0.213, 0.625, 0.250], [0.875, 0.787, 0.750], [0.537, 0.125, 0.250], [0.375, 0.463, 0.750], [0.000, 0.000, 0.000], [0.750, 0.250, 0.500]]
}



# 2
{
  "formula": "Be2PtBr",
  "functional": "PBE",
  "state": "relaxed",
  "magmom_total_mub_per_cell": 0.00,
  "space_group": "Imm2, No. 44",
  "rho_g_cm3": 6.7,
  "final_energy_ev_per_cell": -15.6,
  "raw_formation_energy_ev_per_atom": -0.1128,
  "e_above_lowest_polymorph_mev_per_atom": 212,
  "dos_at_fermi_per_ev_cell": 1.16,
  "lattice_angstrom": [[7.429, 0.091, 0.001], [5.990, 4.395, -0.001], [-6.633, -2.472, 2.256]],
  "species": ["Pt", "Be", "Be", "Br"],
  "frac_coords": [[0.793, 0.293, 0.500], [0.273, 0.773, 0.500], [0.921, 0.921, 0.000], [0.513, 0.513, 0.000]]
}



# 3
{
  "formula": "BePt2Br",
  "functional": "PBE",
  "state": "relaxed",
  "magmom_total_mub_per_cell": 0.00,
  "space_group": "Pmmm, No. 47",
  "rho_g_cm3": 12.3,
  "final_energy_ev_per_cell": -15.8,
  "raw_formation_energy_ev_per_atom": 0.4242,
  "e_above_lowest_polymorph_mev_per_atom": 558,
  "dos_at_fermi_per_ev_cell": 2.47,
  "lattice_angstrom": [[-2.776, 0.999, -0.217], [-1.573, -4.671, -1.366], [-0.670, -0.973, 4.098]],
  "species": ["Pt", "Pt", "Be", "Br"],
  "frac_coords": [[0.000, 0.000, 0.000], [0.500, 0.500, 0.000], [0.500, 0.000, 0.500], [0.000, 0.500, 0.500]]
}



# 4
{
  "formula": "Be2PtBr8",
  "functional": "PBE",
  "state": "relaxed",
  "magmom_total_mub_per_cell": 0.00,
  "space_group": "C2/m, No. 12",
  "rho_g_cm3": 4.0,
  "final_energy_ev_per_cell": -33.9,
  "raw_formation_energy_ev_per_atom": -0.6341,
  "lattice_angstrom": [[-4.430, -3.399, 2.551], [5.759, -4.114, 3.687], [2.340, 2.878, 7.066]],
  "species": ["Br", "Br", "Br", "Br", "Br", "Br", "Br", "Br", "Be", "Be", "Pt"],
  "frac_coords": [[0.746, 0.117, 0.719], [0.254, 0.883, 0.281], [0.406, 0.317, 0.317], [0.746, 0.719, 0.117], [0.213, 0.843, 0.843], [0.594, 0.683, 0.683], [0.254, 0.281, 0.883], [0.787, 0.157, 0.157], [0.576, 0.838, 0.838], [0.424, 0.162, 0.162], [0.000, 0.000, 0.000]]
}



# 5
{
  "formula": "BePtBr2",
  "functional": "PBE",
  "state": "relaxed",
  "magmom_total_mub_per_cell": 0.00,
  "space_group": "I-42d, No. 122",
  "rho_g_cm3": 7.1,
  "final_energy_ev_per_cell": -24.7,
  "raw_formation_energy_ev_per_atom": 0.1963,
  "e_above_lowest_polymorph_mev_per_atom": 475,
  "dos_at_fermi_per_ev_cell": 4.93,
  "lattice_angstrom": [[5.805, 0.000, 0.000], [0.000, 5.805, 0.000], [2.902, 2.902, 5.063]],
  "species": ["Pt", "Pt", "Be", "Be", "Br", "Br", "Br", "Br"],
  "frac_coords": [[0.750, 0.250, 0.500], [0.000, 0.000, 0.000], [0.250, 0.750, 0.500], [0.500, 0.500, 0.000], [0.375, 0.432, 0.750], [0.182, 0.625, 0.250], [0.875, 0.818, 0.750], [0.568, 0.125, 0.250]]
}



# 6
{
  "formula": "BePt2Br",
  "functional": "PBE",
  "state": "relaxed",
  "magmom_total_mub_per_cell": 0.00,
  "space_group": "R-3m, No. 166",
  "rho_g_cm3": 11.4,
  "final_energy_ev_per_cell": -18.0,
  "raw_formation_energy_ev_per_atom": -0.1337,
  "e_above_lowest_polymorph_mev_per_atom": 0,
  "dos_at_fermi_per_ev_cell": 1.13,
  "lattice_angstrom": [[10.360, 0.014, 0.008], [9.976, 2.795, 0.008], [9.976, 1.378, 2.431]],
  "species": ["Be", "Pt", "Pt", "Br"],
  "frac_coords": [[0.250, 0.250, 0.250], [0.528, 0.528, 0.528], [0.972, 0.972, 0.972], [0.750, 0.750, 0.750]]
}



# 7
{
  "formula": "BePt2Br",
  "functional": "PBE",
  "state": "relaxed",
  "magmom_total_mub_per_cell": 0.00,
  "space_group": "Fm-3m, No. 225",
  "rho_g_cm3": 12.8,
  "final_energy_ev_per_cell": -15.4,
  "raw_formation_energy_ev_per_atom": 0.5185,
  "e_above_lowest_polymorph_mev_per_atom": 652,
  "dos_at_fermi_per_ev_cell": 6.11,
  "lattice_angstrom": [[0.000, 3.144, 3.144], [3.144, 0.000, 3.144], [3.144, 3.144, 0.000]],
  "species": ["Pt", "Pt", "Be", "Br"],
  "frac_coords": [[0.250, 0.250, 0.250], [0.750, 0.750, 0.750], [0.000, 0.000, 0.000], [0.500, 0.500, 0.500]]
}



# 8
{
  "formula": "BePtBr2",
  "functional": "PBE",
  "state": "relaxed",
  "magmom_total_mub_per_cell": 0.00,
  "space_group": "P2/m, No. 10",
  "rho_g_cm3": 7.0,
  "final_energy_ev_per_cell": -11.8,
  "raw_formation_energy_ev_per_atom": 0.3189,
  "e_above_lowest_polymorph_mev_per_atom": 598,
  "dos_at_fermi_per_ev_cell": 1.22,
  "lattice_angstrom": [[-2.490, -0.535, 1.922], [-2.928, -1.236, -4.138], [1.039, -5.092, -0.071]],
  "species": ["Pt", "Br", "Br", "Be"],
  "frac_coords": [[0.500, 0.250, 0.250], [0.000, 0.956, 0.956], [0.000, 0.544, 0.544], [0.500, 0.750, 0.750]]
}